5
Lattice="-3.2020 -0.2189 -2.7400 2.0562 -2.9824 -2.1646 -1.8242 -2.9775 2.3696" Properties=species:S:1:pos:R:3 comment="MgRuF3, relaxed, DFT PBE" e_form_raw_ev_per_atom=-1.07 e_tot_ev_per_cell=-21.8 dos_ef_per_ev_cell=4.310 space_group="Pm-3m, No. 221" pbc="T T T"
F -1.6010 -0.1094 -1.3700
F -0.9121 -1.4887 1.1848
F 1.0281 -1.4912 -1.0823
Ru 0.0000 0.0000 0.0000
Mg -1.4850 -3.0894 -1.2675



4
Lattice="1.7428 0.0000 7.4562 -0.8714 1.5094 7.4562 -0.8714 -1.5094 7.4562" Properties=species:S:1:pos:R:3 comment="MgRuF2, relaxed, DFT PBE" e_form_raw_ev_per_atom=-0.90 e_tot_ev_per_cell=-18.2 dos_ef_per_ev_cell=1.356 space_group="R-3m, No. 166" pbc="T T T"
Mg 0.0000 0.0000 0.0000
Ru 0.0000 0.0000 11.1843
F 0.0000 0.0000 20.4005
F 0.0000 0.0000 1.9681



4
Lattice="0.0000 2.9770 2.9770 2.9770 0.0000 2.9770 2.9770 2.9770 0.0000" Properties=species:S:1:pos:R:3 comment="MgRuF2, relaxed, DFT PBE" e_form_raw_ev_per_atom=-0.78 e_tot_ev_per_cell=-17.7 dos_ef_per_ev_cell=2.801 space_group="Fm-3m, No. 225" pbc="T T T"
Mg 0.0000 0.0000 0.0000
F 1.4885 1.4885 1.4885
F 4.4655 4.4655 4.4655
Ru 2.9770 2.9770 2.9770